The following is a PBE calculation of a relaxed structure of TbEr2TcO8, from Alexandria.

It has space group Cmmm (No. 65), with a = 7.072 Å, b = 7.126 Å, c = 6.711 Å, α = 90.00°, β = 90.00° and γ = 90.00°. The asymmetric unit holds Tb at (0.000, 0.000, 0.000), Er at (0.000, 0.500, 0.248), Tc at (0.000, 0.000, 0.500), O at (0.000, 0.184, 0.293), O at (0.190, 0.500, 0.000) and O at (0.230, 0.500, 0.500).



The following is a PBE calculation of a relaxed structure of TbEr2TeO8, from Alexandria.

It has space group Cmmm (No. 65), with a = 7.019 Å, b = 7.116 Å, c = 6.864 Å, α = 90.00°, β = 90.00° and γ = 90.00°. The asymmetric unit holds Tb at (0.000, 0.000, 0.000), Er at (0.000, 0.500, 0.254), Te at (0.000, 0.000, 0.500), O at (0.000, 0.184, 0.288), O at (0.187, 0.500, 0.000) and O at (0.222, 0.500, 0.500).



The following is a PBE calculation of a relaxed structure of Tb2ErTeO8, from Alexandria.

It has space group Cmmm (No. 65), with a = 7.086 Å, b = 7.213 Å, c = 6.848 Å, α = 90.00°, β = 90.00° and γ = 90.00°. The asymmetric unit holds Tb at (0.000, 0.000, 0.250), Er at (0.000, 0.500, 0.000), Te at (0.000, 0.500, 0.500), O at (0.000, 0.319, 0.286), O at (0.194, 0.000, 0.000) and O at (0.226, 0.000, 0.500).



The following is a PBE calculation of a relaxed structure of TbErTeO2, from Alexandria.

It has space group P2_1/m (No. 11), with a = 6.788 Å, b = 4.068 Å, c = 7.732 Å, α = 90.00°, β = 106.66° and γ = 90.00°. The asymmetric unit holds Tb at (0.170, 0.250, 0.423), Er at (0.160, 0.250, 0.911), Te at (0.453, 0.750, 0.744), O at (0.008, 0.750, 0.881) and O at (0.019, 0.750, 0.376).



The following is a PBE calculation of a relaxed structure of TbErTe2O8, from Alexandria.

It has space group I-4m2 (No. 119), with a = 7.346 Å, b = 7.346 Å, c = 6.852 Å, α = 90.00°, β = 90.00° and γ = 90.00°. The asymmetric unit holds Tb at (0.000, 0.000, 0.000), Er at (0.000, 0.500, 0.250), Te at (0.000, 0.000, 0.500), Te at (0.000, 0.500, 0.750), O at (0.000, 0.188, 0.297) and O at (0.000, 0.316, 0.953).



The following is a PBE calculation of a relaxed structure of TbEr2TlO, from Alexandria.

It has space group P4/mmm (No. 123), with a = 4.728 Å, b = 4.728 Å, c = 4.832 Å, α = 90.00°, β = 90.00° and γ = 90.00°. The asymmetric unit holds Tb at (0.000, 0.000, 0.000), Er at (0.000, 0.500, 0.500), Tl at (0.500, 0.500, 0.000) and O at (0.000, 0.000, 0.500).



For each record above, in turn, the calculated ΔE_f (raw) values are -2654; -2534; -2511; -2982; -1953; -1344 meV per atom.